Model one:
The following is a DFT calculation (PBE-GGA) of SrAcAlCu after structural relaxation.

Cell: 5.4932 5.4932 5.4932 Å, 60.00 60.00 60.00°
Element x y z (fractional)
Sr: 0.5000 0.5000 0.5000
Ac: 0.0000 0.0000 0.0000
Al: 0.7500 0.7500 0.7500
Cu: 0.2500 0.2500 0.2500

- Space group: F-43m, No. 216
- Size of the total moment: 0.00 Bohr magnetons per cell

Model two:
The following is a DFT calculation (PBE-GGA) of SrAcAlCu after structural relaxation.

Cell: 4.3540 4.3540 8.5165 Å, 90.07 104.77 119.92°
Element x y z (fractional)
Sr: 0.3535 0.0416 0.3951
Ac: 0.9979 0.8630 0.8609
Al: 0.8380 0.2836 0.1215
Cu: 0.5028 0.6163 0.1190

- Space group: Cm, No. 8
- Size of the total moment: 0.00 Bohr magnetons per cell

Stability summary - winner: model two; margin: 5.5 kJ/mol of atoms.

Model one:
The following is a DFT calculation (PBE-GGA) of AcErAl4 after structural relaxation.

Cell: 5.7376 5.7376 5.7376 Å, 60.00 60.00 60.00°
Element x y z (fractional)
Ac: 0.2500 0.2500 0.2500
Al: 0.6252 0.6252 0.1243
Al: 0.6252 0.1243 0.6252
Al: 0.6252 0.6252 0.6252
Al: 0.1244 0.6252 0.6252
Er: 0.0000 0.0000 0.0000

- Space group: F-43m, No. 216
- Size of the total moment: 0.00 Bohr magnetons per cell

Model two:
The following is a DFT calculation (PBE-GGA) of AcErAl4 after structural relaxation.

Cell: 4.4048 4.4048 8.3390 Å, 105.31 105.31 90.00°
Element x y z (fractional)
Ac: 0.2500 0.7500 0.5000
Er: 0.0000 0.0000 0.0000
Al: 0.6635 0.1635 0.3269
Al: 0.5804 0.5804 0.1608
Al: 0.8365 0.3365 0.6731
Al: 0.4196 0.4196 0.8392

- Space group: I-4m2, No. 119
- Size of the total moment: 0.00 Bohr magnetons per cell

Stability summary - winner: model one; margin: 3.2 kJ/mol of atoms.

Model one:
The following is a DFT calculation (PBE-GGA) of AcEr3Al8 after structural relaxation.

Cell: 5.6075 5.6075 9.8447 Å, 73.45 73.45 60.00°
Element x y z (fractional)
Ac: 0.8745 0.8745 0.3764
Er: 0.3758 0.3758 0.8725
Er: 0.0006 0.0006 0.9983
Er: 0.4978 0.4978 0.5066
Al: 0.9428 0.4402 0.1768
Al: 0.4323 0.9357 0.6963
Al: 0.4402 0.4402 0.1768
Al: 0.9357 0.9357 0.6963
Al: 0.1862 0.1862 0.4415
Al: 0.6882 0.6882 0.9354
Al: 0.4402 0.9428 0.1768
Al: 0.9357 0.4323 0.6963

- Space group: R3m, No. 160
- Size of the total moment: 0.00 Bohr magnetons per cell

Model two:
The following is a DFT calculation (PBE-GGA) of AcEr3Al8 after structural relaxation.

Cell: 5.6148 5.6148 9.2810 Å, 90.00 90.00 120.00°
Element x y z (fractional)
Ac: 0.0000 0.0000 0.5668
Er: 0.6667 0.3333 0.4264
Er: 0.6667 0.3333 0.0658
Er: 0.0000 0.0000 0.9335
Al: 0.3333 0.6667 0.4946
Al: 0.3333 0.6667 0.0040
Al: 0.5044 0.0088 0.7616
Al: 0.5044 0.4956 0.7616
Al: 0.9912 0.4956 0.7616
Al: 0.1624 0.3249 0.2414
Al: 0.1624 0.8376 0.2414
Al: 0.6751 0.8376 0.2414

- Space group: P3m1, No. 156
- Size of the total moment: 0.00 Bohr magnetons per cell

Stability summary - winner: model one; margin: 0.7 kJ/mol of atoms.

Model one:
The following is a DFT calculation (PBE-GGA) of Ac2EuAl after structural relaxation.

Cell: 3.9991 3.9991 9.3644 Å, 90.00 90.00 90.00°
Last column: magnetic moment on the atom in μB.
Element x y z (fractional)
Eu: 0.5000 0.5000 0.5000  7.01
Ac: 0.0000 0.0000 0.7998  0.08
Ac: 0.0000 0.0000 0.2002  0.08
Al: 0.5000 0.5000 0.0000  -0.01

- Space group: P4/mmm, No. 123
- Size of the total moment: 8.03 Bohr magnetons per cell

Model two:
The following is a DFT calculation (PBE-GGA) of Ac2EuAl after structural relaxation.

Cell: 4.9268 5.3395 5.3395 Å, 90.00 90.00 90.00°
Last column: magnetic moment on the atom in μB.
Element x y z (fractional)
Eu: 0.5000 0.0000 0.0000  6.93
Ac: 0.0000 0.0000 0.5000  0.08
Ac: 0.0000 0.5000 0.0000  0.08
Al: 0.5000 0.5000 0.5000  -0.02

- Space group: P4/mmm, No. 123
- Size of the total moment: 7.61 Bohr magnetons per cell

Model three:
The following is a DFT calculation (PBE-GGA) of Ac2EuAl after structural relaxation.

Cell: 5.8366 5.8366 5.8366 Å, 60.00 60.00 60.00°
Last column: magnetic moment on the atom in μB.
Element x y z (fractional)
Eu: 0.0000 0.0000 0.0000  6.93
Ac: 0.2500 0.2500 0.2500  0.07
Ac: 0.7500 0.7500 0.7500  0.07
Al: 0.5000 0.5000 0.5000  -0.02

- Space group: Fm-3m, No. 225
- Size of the total moment: 7.48 Bohr magnetons per cell

Stability summary - winner: model one; margin: 5.7 kJ/mol of atoms.

Model one:
The following is a DFT calculation (PBE-GGA) of AcEu2Al after structural relaxation.

Cell: 5.3640 5.0200 5.0200 Å, 90.00 90.00 90.00°
Last column: magnetic moment on the atom in μB.
Element x y z (fractional)
Eu: 0.0000 0.0000 0.5000  6.91
Eu: 0.0000 0.5000 0.0000  6.91
Ac: 0.5000 0.5000 0.5000  0.07
Al: 0.5000 0.0000 0.0000  -0.03

- Space group: P4/mmm, No. 123
- Size of the total moment: 14.47 Bohr magnetons per cell

Model two:
The following is a DFT calculation (PBE-GGA) of AcEu2Al after structural relaxation.

Cell: 5.7202 5.7202 5.7202 Å, 60.00 60.00 60.00°
Last column: magnetic moment on the atom in μB.
Element x y z (fractional)
Eu: 0.2500 0.2500 0.2500  6.97
Eu: 0.7500 0.7500 0.7500  6.97
Ac: 0.0000 0.0000 0.0000  0.30
Al: 0.5000 0.5000 0.5000  -0.04

- Space group: Fm-3m, No. 225
- Size of the total moment: 15.38 Bohr magnetons per cell

Model three:
The following is a DFT calculation (PBE-GGA) of AcEu2Al after structural relaxation.

Cell: 3.7441 3.7441 12.4210 Å, 81.33 81.33 60.00°
Last column: magnetic moment on the atom in μB.
Element x y z (fractional)
Eu: 0.1012 0.1012 0.6965  6.96
Eu: 0.8988 0.8988 0.3035  6.96
Ac: 0.0000 0.0000 0.0000  0.07
Al: 0.5000 0.5000 0.5000  -0.01

- Space group: R-3m, No. 166
- Size of the total moment: 14.91 Bohr magnetons per cell

Stability summary - winner: model one; margin: 12.8 kJ/mol of atoms.

Model one:
The following is a DFT calculation (PBE-GGA) of Ac2AlF8 after structural relaxation.

Cell: 4.8986 6.7979 6.7979 Å, 120.00 90.00 90.00°
Element x y z (fractional)
Ac: 0.7646 0.3333 0.6667
Ac: 0.2354 0.6667 0.3333
Al: 0.5000 0.0000 0.0000
F: 0.7391 0.6667 0.3333
F: 0.2609 0.3333 0.6667
F: 0.2888 0.2593 0.1296
F: 0.7112 0.7407 0.8704
F: 0.7112 0.1296 0.8704
F: 0.2888 0.8704 0.1296
F: 0.2888 0.8704 0.7407
F: 0.7112 0.1296 0.2593

- Space group: P-3m1, No. 164
- Size of the total moment: 0.00 Bohr magnetons per cell

Model two:
The following is a DFT calculation (PBE-GGA) of Ac2AlF8 after structural relaxation.

Cell: 4.2503 5.5253 7.8729 Å, 114.02 105.66 90.00°
Last column: magnetic moment on the atom in μB.
Element x y z (fractional)
Ac: 0.8376 0.3405 0.6751  0.01
Ac: 0.1624 0.6595 0.3249  0.01
Al: 0.5000 0.0000 0.0000  0.23
F: 0.4084 0.6452 0.8168  0.04
F: 0.6661 0.9361 0.3321  0.01
F: 0.7775 0.6908 0.5550  0.00
F: 0.9812 0.2254 0.9625  0.03
F: 0.2225 0.3092 0.4450  0.00
F: 0.3339 0.0639 0.6679  0.01
F: 0.5916 0.3548 0.1832  0.04
F: 0.0188 0.7746 0.0375  0.03

- Space group: C2/m, No. 12
- Size of the total moment: 0.78 Bohr magnetons per cell

Stability summary - winner: model one; margin: 1.9 kJ/mol of atoms.

Model one:
The following is a DFT calculation (PBE-GGA) of Ac6AlGa2 after structural relaxation.

Cell: 7.0555 9.0383 10.4022 Å, 90.00 84.44 90.00°
Element x y z (fractional)
Ac: 0.8496 0.9448 0.2267
Ac: 0.8546 0.6637 0.5529
Ac: 0.8796 0.6904 0.9290
Ac: 0.6204 0.1904 0.5710
Ac: 0.6454 0.1637 0.9471
Ac: 0.6504 0.4448 0.2733
Ac: 0.1504 0.0552 0.7733
Ac: 0.1454 0.3363 0.4471
Ac: 0.1204 0.3096 0.0710
Ac: 0.3796 0.8096 0.4290
Ac: 0.3546 0.8363 0.0529
Ac: 0.3496 0.5552 0.7267
Al: 0.5000 0.5000 0.0000
Al: 0.0000 0.0000 0.5000
Ga: 0.9243 0.3814 0.7597
Ga: 0.5757 0.8814 0.7403
Ga: 0.4243 0.1186 0.2597
Ga: 0.0757 0.6186 0.2403

- Space group: P2_1/c, No. 14
- Size of the total moment: 0.00 Bohr magnetons per cell

Model two:
The following is a DFT calculation (PBE-GGA) of Ac6AlGa2 after structural relaxation.

Cell: 9.4854 9.4854 9.4854 Å, 105.99 110.46 112.02°
Element x y z (fractional)
Ac: 0.5547 0.7288 0.8259
Ac: 0.4453 0.2712 0.1741
Ac: 0.0971 0.2712 0.8259
Ac: 0.9029 0.7288 0.1741
Ac: 0.8097 0.7511 0.5608
Ac: 0.1903 0.2489 0.4392
Ac: 0.1903 0.7511 0.9414
Ac: 0.8097 0.2489 0.0586
Ac: 0.6962 0.3662 0.6700
Ac: 0.3038 0.6338 0.3300
Ac: 0.3038 0.9737 0.6700
Ac: 0.6962 0.0263 0.3300
Al: 0.0000 0.5000 0.5000
Al: 0.0000 0.0000 0.0000
Ga: 0.5000 0.3848 0.8848
Ga: 0.5000 0.6152 0.1152
Ga: 0.6622 0.0000 0.6622
Ga: 0.3378 0.0000 0.3378

- Space group: Immm, No. 71
- Size of the total moment: 0.00 Bohr magnetons per cell

Stability summary - winner: model two; margin: 9.3 kJ/mol of atoms.

Model one:
The following is a DFT calculation (PBE-GGA) of Ac2Al3Ga2 after structural relaxation.

Cell: 4.4555 4.1417 10.3252 Å, 101.57 90.00 90.00°
Element x y z (fractional)
Ac: 0.0000 0.8390 0.6781
Ac: 0.0000 0.1610 0.3219
Al: 0.5000 0.5659 0.1318
Al: 0.5000 0.4341 0.8682
Al: 0.0000 0.0000 0.0000
Ga: 0.5000 0.7129 0.4259
Ga: 0.5000 0.2871 0.5741

- Space group: Cmmm, No. 65
- Size of the total moment: 0.00 Bohr magnetons per cell

Model two:
The following is a DFT calculation (PBE-GGA) of Ac2Al3Ga2 after structural relaxation.

Cell: 4.3447 6.3839 6.9730 Å, 101.40 90.00 109.89°
Element x y z (fractional)
Ac: 0.8347 0.6694 0.2602
Ac: 0.1653 0.3306 0.7398
Al: 0.5000 0.0000 0.0000
Al: 0.5689 0.1378 0.3801
Al: 0.4311 0.8622 0.6199
Ga: 0.8755 0.7510 0.7938
Ga: 0.1245 0.2490 0.2062

- Space group: C2/m, No. 12
- Size of the total moment: 0.00 Bohr magnetons per cell

Stability summary - winner: model two; margin: 29.8 kJ/mol of atoms.

Model one:
The following is a DFT calculation (PBE-GGA) of Ac3Al2Ga4 after structural relaxation.

Cell: 4.4416 6.4997 9.2381 Å, 110.60 90.00 109.98°
Element x y z (fractional)
Ac: 0.6112 0.2224 0.6801
Ac: 0.0000 0.0000 0.0000
Ac: 0.3888 0.7776 0.3199
Al: 0.6730 0.3460 0.3057
Al: 0.3270 0.6540 0.6943
Ga: 0.7279 0.4559 0.0576
Ga: 0.2721 0.5441 0.9424
Ga: 0.8758 0.7516 0.5845
Ga: 0.1242 0.2484 0.4155

- Space group: C2/m, No. 12
- Size of the total moment: 0.00 Bohr magnetons per cell

Model two:
The following is a DFT calculation (PBE-GGA) of Ac3Al2Ga4 after structural relaxation.

Cell: 4.4366 6.4569 9.0085 Å, 97.31 90.00 110.09°
Element x y z (fractional)
Ac: 0.6654 0.3308 0.6680
Ac: 0.0000 0.0000 0.0000
Ac: 0.3346 0.6692 0.3320
Al: 0.6114 0.2228 0.2782
Al: 0.3886 0.7772 0.7218
Ga: 0.7198 0.4397 0.0534
Ga: 0.2802 0.5603 0.9466
Ga: 0.9422 0.8845 0.6091
Ga: 0.0578 0.1155 0.3909

- Space group: C2/m, No. 12
- Size of the total moment: 0.00 Bohr magnetons per cell

Stability summary - winner: model two; margin: 5.5 kJ/mol of atoms.

Model one:
The following is a DFT calculation (PBE-GGA) of Ac3Al4Ga4 after structural relaxation.

Cell: 4.4457 4.5968 13.4871 Å, 99.81 99.49 90.00°
Element x y z (fractional)
Ac: 0.3534 0.8534 0.7068
Ac: 0.6466 0.1466 0.2932
Ac: 0.0000 0.0000 0.0000
Al: 0.2491 0.2491 0.4983
Al: 0.0958 0.5958 0.1916
Al: 0.9042 0.4042 0.8084
Al: 0.7509 0.7509 0.5017
Ga: 0.8056 0.3056 0.6113
Ga: 0.4514 0.4514 0.9028
Ga: 0.5486 0.5486 0.0972
Ga: 0.1944 0.6944 0.3887

- Space group: Immm, No. 71
- Size of the total moment: 0.00 Bohr magnetons per cell

Model two:
The following is a DFT calculation (PBE-GGA) of Ac3Al4Ga4 after structural relaxation.

Cell: 4.6292 7.4187 8.9323 Å, 114.54 105.02 90.00°
Element x y z (fractional)
Ac: 0.1355 0.1355 0.2710
Ac: 0.8645 0.8645 0.7290
Ac: 0.0000 0.5000 0.0000
Al: 0.3477 0.1689 0.6955
Al: 0.6523 0.4734 0.3045
Al: 0.6523 0.8311 0.3045
Al: 0.3477 0.5266 0.6955
Ga: 0.2127 0.7127 0.4253
Ga: 0.7873 0.2873 0.5747
Ga: 0.5000 0.8249 0.0000
Ga: 0.5000 0.1751 0.0000

- Space group: Immm, No. 71
- Size of the total moment: 0.00 Bohr magnetons per cell

Stability summary - winner: model one; margin: 10.4 kJ/mol of atoms.

Model one:
The following is a DFT calculation (PBE-GGA) of AcLaAlGa after structural relaxation.

Cell: 5.4780 5.4780 5.4780 Å, 60.00 60.00 60.00°
Element x y z (fractional)
Ac: 0.5000 0.5000 0.5000
Al: 0.2500 0.2500 0.2500
Ga: 0.7500 0.7500 0.7500
La: 0.0000 0.0000 0.0000

- Space group: F-43m, No. 216
- Size of the total moment: 0.00 Bohr magnetons per cell

Model two:
The following is a DFT calculation (PBE-GGA) of AcLaAlGa after structural relaxation.

Cell: 4.6748 4.3402 6.3760 Å, 90.00 111.51 90.00°
Element x y z (fractional)
Ac: 0.1441 0.0000 0.2882
La: 0.8599 0.5000 0.7199
Al: 0.4338 0.0000 0.8676
Ga: 0.5622 0.5000 0.1243

- Space group: Amm2, No. 38
- Size of the total moment: 0.01 Bohr magnetons per cell

Stability summary - winner: model two; margin: 6.6 kJ/mol of atoms.